Here is a geometry-optimized CaZnI2N structure from Alexandria. Energies are from GGA-PBE.

Lattice parameters (Å, degrees): 6.1992 6.1992 4.7099 90.00 90.00 90.00
Fractional positions:
Ca1 0.0000 0.0000 0.0000
Zn1 0.5000 0.5000 0.5000
I1 0.0000 0.5000 0.0000
I2 0.5000 0.0000 0.0000
N1 0.0000 0.0000 0.5000

* ΔE_f (raw): 207.8 meV/atom
* V: 36.20 Å³/atom
* relative energy among the computed polymorphs: 279 meV per atom



Here is a geometry-optimized CaZrIN2 structure from Alexandria. Energies are from GGA-PBE.

Lattice parameters (Å, degrees): 4.3281 4.3281 5.7428 90.00 90.00 90.00
Fractional positions:
Ca1 0.0000 0.0000 0.0000
Zr1 0.5000 0.5000 0.5000
I1 0.5000 0.5000 0.0000
N1 0.0000 0.5000 0.5000
N2 0.5000 0.0000 0.5000

* ΔE_f (raw): -244.7 meV/atom
* V: 21.52 Å³/atom
* relative energy among the computed polymorphs: 0 meV per atom



Here is a geometry-optimized CaZrIN2 structure from Alexandria. Energies are from GGA-PBE.

Lattice parameters (Å, degrees): 4.3695 4.3695 5.5406 90.00 90.00 90.00
Fractional positions:
Ca1 0.0000 0.0000 0.0000
Zr1 0.5000 0.5000 0.5000
I1 0.0000 0.0000 0.5000
N1 0.0000 0.5000 0.0000
N2 0.5000 0.0000 0.0000

* ΔE_f (raw): 1218.5 meV/atom
* V: 21.16 Å³/atom
* relative energy among the computed polymorphs: 1463 meV per atom



Here is a geometry-optimized Na2CaI4 structure from Alexandria. Energies are from GGA-PBE.

Lattice parameters (Å, degrees): 9.2750 9.2750 9.2750 141.16 141.16 56.10
Fractional positions:
Na1 0.1320 0.1320 0.0000
Na2 0.8680 0.8680 0.0000
Ca1 0.5000 0.5000 0.0000
I1 0.0000 0.5000 0.5000
I2 0.3138 0.3138 0.0000
I3 0.5000 0.0000 0.5000
I4 0.6862 0.6862 0.0000

* ΔE_f (raw): -1258.0 meV/atom
* V: 44.48 Å³/atom
* relative energy among the computed polymorphs: 159 meV per atom



Here is a geometry-optimized Na4CaI6 structure from Alexandria. Energies are from GGA-PBE.

Lattice parameters (Å, degrees): 8.9385 8.9385 15.6871 104.94 104.94 62.19
Fractional positions:
Na1 0.0467 0.2646 0.8058
Na2 0.0781 0.9219 0.5000
Na3 0.1476 0.5521 0.1476
Na4 0.2646 0.0467 0.3058
Na5 0.5395 0.7497 0.9949
Na6 0.5521 0.1476 0.6476
Na7 0.7497 0.5395 0.4949
Na8 0.9219 0.0781 0.0000
Ca1 0.1396 0.6909 0.7397
Ca2 0.6909 0.1396 0.2397
I1 0.0928 0.5936 0.5432
I2 0.2540 0.8260 0.1108
I3 0.3416 0.3639 0.8093
I4 0.3442 0.8909 0.8133
I5 0.3639 0.3416 0.3093
I6 0.4314 0.9054 0.4894
I7 0.5936 0.0928 0.0432
I8 0.8061 0.9270 0.8010
I9 0.8260 0.2540 0.6108
I10 0.8909 0.3442 0.3133
I11 0.9054 0.4314 0.9894
I12 0.9270 0.8061 0.3010

* ΔE_f (raw): -1257.5 meV/atom
* V: 48.05 Å³/atom



Here is a geometry-optimized Na2CaI4 structure from Alexandria. Energies are from GGA-PBE.

Lattice parameters (Å, degrees): 8.5322 8.5322 8.0765 115.37 115.37 31.49
Fractional positions:
Na1 0.2218 0.2218 0.1941
Na2 0.7782 0.7782 0.8059
Ca1 0.5000 0.5000 0.5000
I1 0.1312 0.1312 0.4824
I2 0.3842 0.3842 0.0746
I3 0.6158 0.6158 0.9254
I4 0.8688 0.8688 0.5176

* ΔE_f (raw): -1383.2 meV/atom
* V: 39.28 Å³/atom
* relative energy among the computed polymorphs: 34 meV per atom



Here is a geometry-optimized Na2Ca2I structure from Alexandria. Energies are from GGA-PBE.

Lattice parameters (Å, degrees): 8.2146 8.2146 5.9323 90.00 90.00 90.00
Fractional positions:
Na1 0.1401 0.3599 0.0000
Na2 0.3599 0.8599 0.0000
Na3 0.6401 0.1401 0.0000
Na4 0.8599 0.6401 0.0000
Ca1 0.1606 0.6606 0.5000
Ca2 0.3394 0.1606 0.5000
Ca3 0.6606 0.8394 0.5000
Ca4 0.8394 0.3394 0.5000
I1 0.0000 0.0000 0.0000
I2 0.5000 0.5000 0.0000

* ΔE_f (raw): -182.3 meV/atom
* V: 40.03 Å³/atom
* relative energy among the computed polymorphs: 75 meV per atom



Here is a geometry-optimized NaCa3I structure from Alexandria. Energies are from GGA-PBE.

Lattice parameters (Å, degrees): 6.2000 6.2000 6.2000 90.00 90.00 90.00
Fractional positions:
Na1 0.0000 0.0000 0.0000
Ca1 0.0000 0.0000 0.5000
Ca2 0.0000 0.5000 0.0000
Ca3 0.5000 0.0000 0.0000
I1 0.5000 0.5000 0.5000

* ΔE_f (raw): 161.6 meV/atom
* V: 47.67 Å³/atom
* relative energy among the computed polymorphs: 172 meV per atom



Here is a geometry-optimized Na2Ca3I8 structure from Alexandria. Energies are from GGA-PBE.

Lattice parameters (Å, degrees): 8.9527 8.9527 7.9947 96.54 96.54 61.39
Fractional positions:
Na1 0.2186 0.2186 0.0739
Na2 0.7814 0.7814 0.9261
Ca1 0.2474 0.7526 0.5000
Ca2 0.5000 0.5000 0.0000
Ca3 0.7526 0.2474 0.5000
I1 0.1177 0.1177 0.3856
I2 0.1434 0.6147 0.1437
I3 0.3853 0.8566 0.8563
I4 0.3872 0.3872 0.6427
I5 0.6128 0.6128 0.3573
I6 0.6147 0.1434 0.1437
I7 0.8566 0.3853 0.8563
I8 0.8823 0.8823 0.6144

* ΔE_f (raw): -1492.8 meV/atom
* V: 42.89 Å³/atom



Here is a geometry-optimized NaCaI structure from Alexandria. Energies are from GGA-PBE.

Lattice parameters (Å, degrees): 15.3584 4.1794 4.1794 60.05 90.00 90.00
Fractional positions:
Na1 0.1928 0.0000 0.0000
Na2 0.8072 0.0000 0.0000
Ca1 0.0000 0.6652 0.6652
Ca2 0.5000 0.0030 0.0030
I1 0.3649 0.6694 0.6694
I2 0.6351 0.6694 0.6694

* ΔE_f (raw): -689.2 meV/atom
* V: 38.74 Å³/atom
* relative energy among the computed polymorphs: 16 meV per atom



Here is a geometry-optimized NaCaI structure from Alexandria. Energies are from GGA-PBE.

Lattice parameters (Å, degrees): 4.2220 4.2220 7.4780 90.00 90.00 120.00
Fractional positions:
Na1 0.0000 0.0000 0.0000
Ca1 0.6667 0.3333 0.3822
I1 0.3333 0.6667 0.6716

* ΔE_f (raw): -704.7 meV/atom
* V: 38.48 Å³/atom
* relative energy among the computed polymorphs: 0 meV per atom



Here is a geometry-optimized Na2Ca2I structure from Alexandria. Energies are from GGA-PBE.

Lattice parameters (Å, degrees): 10.7254 10.7254 10.7254 157.12 157.12 32.58
Fractional positions:
Na1 0.2500 0.7500 0.5000
Na2 0.7500 0.2500 0.5000
Ca1 0.0996 0.0996 0.0000
Ca2 0.9004 0.9004 0.0000
I1 0.5000 0.5000 0.0000

* ΔE_f (raw): -185.4 meV/atom
* V: 37.26 Å³/atom
* relative energy among the computed polymorphs: 72 meV per atom



Here is a geometry-optimized NaCaI structure from Alexandria. Energies are from GGA-PBE.

Lattice parameters (Å, degrees): 7.7419 7.7419 7.7419 150.44 150.44 42.29
Fractional positions:
Na1 0.0000 0.0000 0.0000
Ca1 0.6823 0.6823 0.0000
I1 0.3124 0.3124 0.0000

* ΔE_f (raw): -653.5 meV/atom
* V: 37.55 Å³/atom
* relative energy among the computed polymorphs: 51 meV per atom



Here is a geometry-optimized NaCa3I structure from Alexandria. Energies are from GGA-PBE.

Lattice parameters (Å, degrees): 6.3632 6.3632 6.3632 90.00 90.00 90.00
Fractional positions:
Na1 0.0000 0.0000 0.0000
Ca1 0.0000 0.5000 0.5000
Ca2 0.5000 0.0000 0.5000
Ca3 0.5000 0.5000 0.0000
I1 0.5000 0.5000 0.5000

* ΔE_f (raw): -10.0 meV/atom
* V: 51.53 Å³/atom
* relative energy among the computed polymorphs: 0 meV per atom



Here is a geometry-optimized Na2Ca2I structure from Alexandria. Energies are from GGA-PBE.

Lattice parameters (Å, degrees): 8.5129 8.5129 5.7186 90.00 90.00 90.00
Fractional positions:
Na1 0.1415 0.3585 0.0000
Na2 0.3585 0.8585 0.0000
Na3 0.6415 0.1415 0.0000
Na4 0.8585 0.6415 0.0000
Ca1 0.1588 0.6588 0.5000
Ca2 0.3412 0.1588 0.5000
Ca3 0.6588 0.8412 0.5000
Ca4 0.8412 0.3412 0.5000
I1 0.0000 0.0000 0.5000
I2 0.5000 0.5000 0.5000

* ΔE_f (raw): -257.3 meV/atom
* V: 41.44 Å³/atom
* relative energy among the computed polymorphs: 0 meV per atom



Here is a geometry-optimized NaCa4I8 structure from Alexandria. Energies are from GGA-PBE.

Lattice parameters (Å, degrees): 9.2337 9.2337 9.2337 60.00 60.00 60.00
Fractional positions:
Na1 0.0000 0.0000 0.0000
Ca1 0.3806 0.3806 0.3806
Ca2 0.3806 0.3806 0.8583
Ca3 0.3806 0.8583 0.3806
Ca4 0.8583 0.3806 0.3806
I1 0.1348 0.1348 0.1348
I2 0.1348 0.1348 0.5957
I3 0.1348 0.5957 0.1348
I4 0.1356 0.6215 0.6215
I5 0.5957 0.1348 0.1348
I6 0.6215 0.1356 0.6215
I7 0.6215 0.6215 0.1356
I8 0.6215 0.6215 0.6215

* ΔE_f (raw): -1438.9 meV/atom
* V: 42.82 Å³/atom



Here is a geometry-optimized Na2CaI4 structure from Alexandria. Energies are from GGA-PBE.

Lattice parameters (Å, degrees): 8.0310 8.0310 4.5677 90.00 90.00 109.35
Fractional positions:
Na1 0.0000 0.5000 0.0000
Na2 0.5000 0.0000 0.0000
Ca1 0.0000 0.0000 0.5000
I1 0.2359 0.2359 0.0000
I2 0.2409 0.7591 0.5000
I3 0.7591 0.2409 0.5000
I4 0.7641 0.7641 0.0000

* ΔE_f (raw): -1416.8 meV/atom
* V: 39.71 Å³/atom
* relative energy among the computed polymorphs: 0 meV per atom



Here is a geometry-optimized NaCa2I2 structure from Alexandria. Energies are from GGA-PBE.

Lattice parameters (Å, degrees): 8.2329 8.2329 8.2329 141.15 141.15 56.11
Fractional positions:
Na1 0.0000 0.0000 0.0000
Ca1 0.3719 0.3719 0.0000
Ca2 0.6281 0.6281 0.0000
I1 0.2500 0.7500 0.5000
I2 0.7500 0.2500 0.5000

* ΔE_f (raw): -747.3 meV/atom
* V: 43.57 Å³/atom
* relative energy among the computed polymorphs: 0 meV per atom



Here is a geometry-optimized NaCa2I2 structure from Alexandria. Energies are from GGA-PBE.

Lattice parameters (Å, degrees): 9.2196 9.2196 3.9841 90.00 90.00 90.00
Fractional positions:
Na1 0.0000 0.0000 0.0000
Na2 0.5000 0.5000 0.0000
Ca1 0.1580 0.3420 0.5000
Ca2 0.3420 0.8420 0.5000
Ca3 0.6580 0.1580 0.5000
Ca4 0.8420 0.6580 0.5000
I1 0.1398 0.6398 0.0000
I2 0.3602 0.1398 0.0000
I3 0.6398 0.8602 0.0000
I4 0.8602 0.3602 0.0000

* ΔE_f (raw): -661.2 meV/atom
* V: 33.86 Å³/atom
* relative energy among the computed polymorphs: 86 meV per atom



Here is a geometry-optimized Na2CaNpI8 structure from Alexandria. Energies are from GGA-PBE.

Lattice parameters (Å, degrees): 7.3439 9.2809 7.7626 90.00 94.49 90.00
Fractional positions:
Na1 0.0000 0.2381 0.0000
Na2 0.0000 0.7619 0.0000
Ca1 0.5000 0.0000 0.5000
Np1 0.5000 0.5000 0.5000
I1 0.2447 0.0000 0.1711
I2 0.2504 0.5000 0.1742
I3 0.2725 0.2654 0.6479
I4 0.2725 0.7346 0.6479
I5 0.7275 0.2654 0.3521
I6 0.7275 0.7346 0.3521
I7 0.7496 0.5000 0.8258
I8 0.7553 0.0000 0.8289

* ΔE_f (raw): -1107.5 meV/atom
* V: 43.95 Å³/atom



| no. | M_tot (μB per cell) |
| --- | --- |
| 1 | 2.438 |
| 2 | 0.440 |
| 3 | 0.002 |
| 4 | 0.000 |
| 5 | 0.000 |
| 6 | 0.000 |
| 7 | 0.000 |
| 8 | 0.000 |
| 9 | 0.000 |
| 10 | 0.369 |
| 11 | 0.000 |
| 12 | 0.000 |
| 13 | 0.000 |
| 14 | 0.000 |
| 15 | 0.000 |
| 16 | 0.000 |
| 17 | 0.000 |
| 18 | 0.000 |
| 19 | 0.000 |
| 20 | 2.993 |